No. 1
Entry from the Alexandria database: a relaxed structure of Li3Si6NiO15 (PBEsol).

Cell and atoms, written as extended XYZ:
```
100
Lattice="9.695 0.000 0.000 0.000 11.144 0.021 0.000 -1.944 10.973" Properties=species:S:1:pos:R:3 pbc="T T T"
O 0.913 6.104 10.918
O 8.826 1.837 4.368
O 6.554 0.692 5.564
O 7.988 7.235 0.088
O 0.700 5.965 4.354
O 3.394 -0.296 2.382
O 0.869 7.363 6.625
O 8.994 3.235 6.639
O 7.988 10.388 3.856
O 8.104 7.506 9.304
O 5.716 6.436 9.865
O 3.256 6.294 7.187
O 8.782 3.096 0.075
O 0.869 3.976 2.578
O 8.241 4.896 3.115
O 6.301 2.397 0.128
O 5.716 0.624 2.919
O 9.532 2.693 9.165
O 5.010 9.237 3.689
O 3.979 2.763 1.129
O 6.301 9.496 8.612
O 8.104 1.365 1.965
O 8.060 -1.412 10.528
O 0.163 6.507 1.829
O 0.913 -0.472 3.061
O 1.706 -1.189 7.138
O 3.934 1.504 5.421
O 1.453 4.304 7.879
O 6.438 5.965 7.462
O 3.141 8.508 5.430
O 3.256 3.235 3.531
O 3.141 5.355 1.662
O 3.394 6.803 10.865
O 3.212 4.068 5.942
O 4.685 2.003 9.743
O 1.591 7.835 9.028
O 6.554 3.845 9.332
O 0.163 8.547 4.267
O 5.760 5.071 2.436
O 4.685 -0.037 7.305
O 8.241 6.997 5.625
O 3.979 8.576 8.075
O 6.482 5.132 5.052
O 1.453 2.203 5.369
O 1.635 10.612 0.466
O 4.092 6.700 3.740
O 0.755 0.156 9.216
O 8.782 9.671 7.933
O 3.934 4.128 8.558
O 8.939 9.044 1.778
O 5.760 7.696 5.572
O 8.826 5.224 8.416
O 9.532 0.653 6.727
O 5.548 9.778 1.163
O 4.147 -0.579 9.830
O 5.603 2.500 7.254
O 6.438 2.906 3.807
O 5.010 7.197 1.251
O 1.591 1.694 1.690
O 1.706 1.964 10.906
Si 4.747 -1.217 8.411
Si 2.941 2.739 5.010
Si 9.594 3.873 8.059
Si 1.906 0.151 1.918
Si 0.100 5.327 2.935
Si 4.455 8.046 4.651
Si 1.906 7.338 10.507
Si 4.947 10.417 2.583
Si 4.455 6.040 2.254
Si 2.941 4.751 7.415
Si 4.947 8.494 0.285
Si 6.753 4.449 3.579
Si 9.302 9.703 3.264
Si 6.753 6.461 5.983
Si 7.789 1.861 0.486
Si 0.393 -0.503 7.730
Si 9.594 1.950 5.761
Si 5.240 1.154 6.343
Si 0.393 1.502 10.126
Si 9.302 7.698 0.867
Si 5.240 3.159 8.740
Si 0.100 7.250 5.233
Si 4.747 0.706 10.709
Si 7.789 9.049 9.076
Ni 7.271 5.727 9.227
Ni 2.424 8.073 7.264
Ni 7.271 1.127 3.730
Ni 2.424 3.473 1.767
Li 7.570 10.155 0.849
Li 2.424 3.671 10.947
Li 2.723 5.589 4.669
Li 6.972 3.611 6.325
Li 7.271 5.529 0.047
Li 7.271 10.129 5.543
Li 4.847 6.837 8.170
Li 0.000 6.963 8.320
Li 2.125 -0.955 10.145
Li 0.000 2.237 2.673
Li 4.847 2.363 2.824
Li 2.424 -0.929 5.450
```

formation energy (no corrections)	-2.44	eV per atom
density	2.734	g/cm3
N(E_F)	3.78	states/eV/cell



No. 2
Entry from the Alexandria database: a relaxed structure of Li7Si2Ni3O12 (PBEsol).

Cell and atoms, written as extended XYZ:
```
24
Lattice="-1.985 3.328 2.884 -1.843 -1.294 4.271 7.701 2.564 4.996" Properties=species:S:1:pos:R:3 pbc="T T T"
Ni 2.858 2.946 3.940
Ni 1.585 3.634 6.316
Ni 2.288 0.965 5.835
O 1.188 3.902 4.437
O 0.708 1.899 6.351
O 6.084 3.642 5.637
O 3.165 2.700 5.800
O -0.368 2.251 2.243
O 1.993 1.253 3.935
O -1.012 0.576 4.184
O 1.880 3.346 8.215
O 4.528 1.991 3.443
O 4.885 4.023 7.967
O 5.658 1.596 7.254
O -1.785 3.003 4.896
Li 4.296 4.452 5.946
Li 0.000 0.000 0.000
Li 1.420 1.441 1.934
Li 5.035 1.782 5.376
Li 0.130 2.196 4.335
Li 3.743 2.403 7.816
Li -1.162 2.817 6.774
Si -2.552 1.357 4.770
Si -1.276 0.678 2.385
```

formation energy (no corrections)	-1.90	eV per atom
density	4.137	g/cm3
N(E_F)	8.67	states/eV/cell



No. 3
Entry from the Alexandria database: a relaxed structure of LiSiNiO4 (PBEsol).

Cell and atoms, written as extended XYZ:
```
14
Lattice="5.378 0.000 0.000 -2.689 4.964 -0.021 0.000 -3.162 4.646" Properties=species:S:1:pos:R:3 pbc="T T T"
Ni 2.689 0.000 0.000
Ni 2.689 -1.581 2.323
Li 2.689 3.345 0.577
Li 0.000 -1.543 4.048
O -1.252 2.381 3.320
O 1.437 -0.580 1.305
O 2.689 0.223 3.302
O 0.000 1.578 1.323
O 3.941 -0.580 1.305
O 1.252 2.381 3.320
O 0.000 0.229 3.306
O 2.689 1.573 1.319
Si 1.344 0.901 2.313
Si -1.344 0.901 2.313
```

formation energy (no corrections)	-1.97	eV per atom
density	4.236	g/cm3
N(E_F)	2.63	states/eV/cell



No. 4
Entry from the Alexandria database: a relaxed structure of Li9Si2Ni5O16 (PBEsol).

Cell and atoms, written as extended XYZ:
```
32
Lattice="4.861 0.018 0.026 0.884 4.869 0.005 0.936 1.618 10.831" Properties=species:S:1:pos:R:3 pbc="T T T"
O 2.361 1.826 6.486
O 2.350 2.678 3.716
O 2.501 3.487 1.004
O 1.704 4.943 3.148
O 3.477 5.978 9.166
O 5.811 5.471 10.563
O 4.915 3.023 2.639
O 3.204 0.526 1.697
O 1.767 3.481 8.223
O 4.320 4.678 4.376
O 1.583 4.198 5.698
O 0.870 1.033 0.300
O 4.180 3.017 9.858
O 4.977 1.561 7.715
O 4.331 3.826 7.147
O 5.098 2.306 5.165
Ni 0.938 2.050 9.457
Ni 3.375 2.479 8.065
Ni 2.430 0.009 0.013
Ni 5.743 4.455 1.406
Ni 3.306 4.025 2.798
Li 4.944 5.546 6.076
Li 1.629 1.781 2.072
Li 4.094 2.251 0.711
Li 2.648 5.045 7.353
Li 2.587 4.253 10.152
Li 3.341 3.252 5.431
Li 1.737 0.958 4.787
Li 4.033 1.460 3.510
Li 5.052 4.723 8.791
Si 0.938 2.857 6.708
Si 5.743 3.647 4.155
```

formation energy (no corrections)	-1.75	eV per atom
density	4.333	g/cm3
N(E_F)	10.38	states/eV/cell



No. 5
Entry from the Alexandria database: a relaxed structure of Li2Si4Ni4O13 (PBEsol).

Cell and atoms, written as extended XYZ:
```
46
Lattice="6.697 0.008 0.006 1.667 7.575 -0.123 1.634 3.448 9.015" Properties=species:S:1:pos:R:3 pbc="T T T"
O 7.508 8.852 8.009
O 4.442 4.688 1.310
O 2.744 6.275 7.559
O 5.556 6.343 7.587
O 2.490 2.178 0.889
O 4.111 8.556 8.309
O 5.888 2.474 0.588
O 5.701 6.198 3.499
O 4.195 3.764 7.977
O 3.784 1.347 3.169
O 7.547 7.886 2.833
O 6.966 2.234 5.813
O 2.452 3.144 6.065
O 2.607 6.114 3.502
O 7.435 3.864 7.959
O 3.033 8.797 3.084
O 5.804 7.266 0.920
O 7.254 4.755 1.338
O 4.298 4.832 5.398
O 2.477 3.633 3.149
O 7.392 4.917 5.396
O 2.564 7.166 0.939
O 5.875 3.591 3.123
O 6.215 9.683 5.729
O 7.522 7.397 5.748
O 4.124 7.439 5.774
Ni 7.506 4.818 3.371
Ni 5.806 6.207 5.555
Ni 5.772 4.832 8.869
Ni 4.227 6.199 0.028
Ni 2.493 6.213 5.526
Ni 7.490 6.223 -0.005
Ni 2.509 4.807 8.902
Ni 4.193 4.824 3.342
Si 7.485 8.869 6.389
Si 6.032 7.455 2.525
Si 7.645 3.625 6.355
Si 4.134 7.185 7.415
Si 3.967 3.575 6.373
Si 2.513 2.162 2.508
Si 2.354 7.405 2.542
Si 5.864 3.845 1.483
Li 7.498 6.717 7.803
Li 5.710 1.988 3.949
Li 4.289 9.042 4.949
Li 2.501 4.314 1.094
```

formation energy (no corrections)	-1.90	eV per atom
density	4.108	g/cm3



No. 6
Entry from the Alexandria database: a relaxed structure of Li3SiNi3O8 (PBEsol).

Cell and atoms, written as extended XYZ:
```
15
Lattice="-3.500 0.870 -3.436 4.466 -1.064 -2.151 -1.290 -5.339 -0.038" Properties=species:S:1:pos:R:3 pbc="T T T"
O -0.020 -1.344 -1.593
O 2.194 -0.513 -2.437
O 1.751 -3.232 -2.368
O -0.689 -4.113 -1.613
O -2.075 -2.301 -3.257
O -1.228 0.319 -3.149
O 0.365 -1.420 -4.012
O -0.304 -4.189 -4.031
Li -2.067 -0.876 -1.727
Li -2.723 -3.593 -1.747
Li -0.645 -2.670 -0.019
Ni -0.162 -2.766 -2.812
Ni 1.260 -4.558 -1.104
Ni 1.916 -1.845 -1.085
Si 0.483 -0.097 -2.793
```

formation energy (no corrections)	-1.59	eV per atom
density	4.535	g/cm3
N(E_F)	5.49	states/eV/cell



No. 7
Entry from the Alexandria database: a relaxed structure of Li2Si12Ni5O30 (PBEsol).

Cell and atoms, written as extended XYZ:
```
98
Lattice="9.950 0.000 0.000 -4.975 8.617 0.000 0.000 0.000 14.354" Properties=species:S:1:pos:R:3 pbc="T T T"
O -3.422 6.867 8.772
O 8.144 2.048 12.423
O 4.273 1.422 5.986
O 7.658 0.470 1.594
O 2.677 0.540 9.108
O -2.298 8.077 5.246
O 2.005 6.493 10.766
O 8.144 2.048 9.108
O 0.739 2.220 8.772
O 1.010 3.451 3.589
O 7.658 0.470 5.583
O 0.979 4.313 6.126
O -1.730 5.613 1.051
O -0.905 4.412 8.368
O 6.980 2.124 3.589
O -2.491 6.017 3.589
O 4.104 6.029 12.423
O 3.169 6.569 5.246
O -0.871 2.588 5.246
O 4.104 6.029 9.108
O -1.730 5.613 6.126
O 4.070 4.205 1.191
O 3.245 3.004 8.228
O -0.702 7.195 13.163
O -0.355 3.634 10.766
O 1.553 1.750 1.594
O 4.620 4.983 3.589
O 5.726 1.308 8.228
O 6.582 2.990 5.986
O -2.298 8.077 1.931
O 0.979 4.313 1.051
O -0.905 4.412 13.163
O 4.070 4.205 5.986
O 0.751 7.309 6.126
O 3.169 6.569 1.931
O 1.481 7.766 3.589
O 6.456 0.851 10.766
O -0.871 2.588 1.931
O 0.751 7.309 1.051
O 5.954 4.304 8.228
O 2.683 8.147 12.760
O 1.607 5.627 13.163
O 2.484 2.600 10.766
O 1.607 5.627 8.368
O 2.677 0.540 12.423
O 5.714 6.397 5.583
O -1.650 7.107 10.766
O 5.726 1.308 13.303
O 5.985 5.166 10.766
O 3.325 1.510 3.589
O -0.702 7.195 8.368
O -3.422 6.867 12.760
O 0.739 2.220 12.760
O 5.954 4.304 13.303
O 5.714 6.397 1.594
O 6.582 2.990 1.191
O 3.245 3.004 13.303
O 2.683 8.147 8.772
O 4.273 1.422 1.191
O 1.553 1.750 5.583
Si 6.942 0.957 12.317
Si 0.675 3.084 5.140
Si 5.650 5.533 12.317
Si 0.675 3.084 2.037
Si 2.969 1.051 5.133
Si 1.967 7.660 2.037
Si -0.575 3.097 12.310
Si 6.942 0.957 9.214
Si 2.581 6.571 9.221
Si 4.400 5.520 2.044
Si -2.642 6.491 5.140
Si 2.333 2.126 12.317
Si 4.400 5.520 5.133
Si -0.575 3.097 9.221
Si -2.642 6.491 2.037
Si 7.556 2.046 2.044
Si -2.006 7.566 12.310
Si -2.006 7.566 9.221
Si 1.967 7.660 5.140
Si 2.333 2.126 9.214
Si 2.969 1.051 2.044
Si 5.650 5.533 9.214
Si 2.581 6.571 12.310
Si 7.556 2.046 5.133
Ni -2.402 4.160 7.177
Ni -2.402 4.160 0.000
Ni 4.803 0.000 7.177
Ni 2.574 4.457 7.177
Ni 0.000 5.745 0.028
Ni 4.975 2.872 14.326
Ni 4.975 2.872 7.206
Ni 0.000 5.745 7.149
Ni 4.803 0.000 0.000
Ni 2.574 4.457 0.000
Li 0.000 5.745 10.766
Li 4.975 2.872 3.589
Li 0.000 0.000 0.000
Li 0.000 0.000 7.177
```

formation energy (no corrections)	-2.24	eV per atom
density	3.034	g/cm3
N(E_F)	5.22	states/eV/cell



No. 8
Entry from the Alexandria database: a relaxed structure of Li3SiNiO5 (PBEsol).

Cell and atoms, written as extended XYZ:
```
40
Lattice="-0.407 -4.821 0.340 4.364 -0.582 -3.037 8.895 0.148 12.756" Properties=species:S:1:pos:R:3 pbc="T T T"
Li 3.438 -0.102 3.350
Li 8.371 -2.531 9.418
Li 7.934 -2.839 4.064
Li 7.790 -5.118 5.868
Li 2.932 -0.402 -1.956
Li 4.676 -0.409 0.478
Li 4.860 -2.537 4.360
Li 5.119 -0.038 5.827
Li 4.247 -2.875 -1.167
Li 10.121 -2.475 11.848
Li 8.403 -4.780 11.396
Li 9.609 -2.838 6.546
O 2.996 -0.688 1.486
O 9.970 -3.224 8.479
O 9.925 -0.855 6.420
O 1.426 -3.274 1.013
O 6.279 -0.961 1.546
O 6.208 -3.522 3.223
O 3.052 -2.917 3.534
O 1.457 -0.690 -0.742
O 7.837 -0.912 3.760
O 7.840 -3.184 5.983
O 8.292 -2.849 11.279
O 6.717 -0.875 6.776
O 4.680 -0.992 -1.319
O 11.513 -3.172 10.703
O 8.577 -0.550 9.134
O 6.687 -2.951 8.418
O 5.132 -0.657 3.977
O 4.401 -3.222 0.820
O 5.133 -2.951 6.201
O 11.499 -1.123 8.985
Ni 6.024 -2.838 1.506
Ni 6.625 -4.820 8.722
Ni 2.966 -2.562 1.768
Ni 9.684 -5.097 8.461
Si 1.586 -0.114 0.760
Si 6.584 -2.551 6.783
Si 6.466 -0.360 3.111
Si 11.464 -2.797 9.134
```

polymorph energy (0 for the lowest one)	4.7	kJ per mole of atoms
formation energy (no corrections)	-1.97	eV per atom
density	3.089	g/cm3
N(E_F)	4.03	states/eV/cell